A plane-wave DFT calculation with PBE-GGA was carried out for a geometry-optimized ZrPW2 structure.

The structure in CIF format:
```
data_ZrPW2
_space_group_name_H-M_alt 'P 4 m m'
_space_group_IT_number 99
_cell_length_a 3.2161
_cell_length_b 3.2161
_cell_length_c 6.5501
_cell_angle_alpha 90.00
_cell_angle_beta 90.00
_cell_angle_gamma 90.00
loop_
_space_group_symop_operation_xyz
'x,y,z'
'-y,x,z'
'-x,-y,z'
'y,-x,z'
'-x,y,z'
'y,x,z'
'x,-y,z'
'-y,-x,z'
loop_
_atom_site_label
_atom_site_type_symbol
_atom_site_fract_x
_atom_site_fract_y
_atom_site_fract_z
Zr1 Zr 0.0000 0.0000 0.0000
P1 P 0.5000 0.5000 0.2890
W1 W 0.0000 0.0000 0.4750
W2 W 0.5000 0.5000 0.7039
```

Summary:
N(E_F)   2.95 states/eV/cell
ΔE_f   -0.12 eV per atom
Crystal system   tetragonal

=====

A plane-wave DFT calculation with PBE-GGA was carried out for a geometry-optimized Th6Mn3Se14 structure.

The structure in CIF format:
```
data_Th6Mn3Se14
_space_group_name_H-M_alt 'P 3'
_space_group_IT_number 143
_cell_length_a 10.4774
_cell_length_b 10.4774
_cell_length_c 6.0589
_cell_angle_alpha 90.00
_cell_angle_beta 90.00
_cell_angle_gamma 120.00
loop_
_space_group_symop_operation_xyz
'x,y,z'
'-y,x-y,z'
'-x+y,-x,z'
loop_
_atom_site_label
_atom_site_type_symbol
_atom_site_fract_x
_atom_site_fract_y
_atom_site_fract_z
Th1 Th 0.0355 0.5586 0.0000
Th2 Th 0.2964 0.1066 0.5003
Mn1 Mn 0.0000 0.0000 0.8857
Mn2 Mn 0.3333 0.6667 0.3949
Mn3 Mn 0.6667 0.3333 0.2742
Se1 Se 0.0000 0.0000 0.2919
Se2 Se 0.0955 0.8423 0.7520
Se3 Se 0.1775 0.4154 0.2502
Se4 Se 0.3333 0.6667 0.7958
Se5 Se 0.4177 0.1838 0.0222
Se6 Se 0.5144 0.4318 0.5047
```

Summary:
N(E_F)   9.73 states/eV/cell
Formation energy (no corrections)   -133.52 kJ per mole of atoms
Crystal system   trigonal

=====

What is the formula in the first record?
ZrPW2